Entry 1:
Sr2Ga4Cu3Ag: relaxed, GGA-PBE.

Lattice parameters (Å, degrees): 4.3466 4.3466 10.6341 90.00 90.00 90.00
Closest atoms and distances in Å follow each position.
Space group P-4m2 (No. 115)
One atom of each set of equivalent atoms:
1 Sr 0.0000 0.5000 0.2446 [2 per cell]  6 Cu 3.32-3.48, 8 Ga 3.33-3.39, 2 Ag 3.48
2 Ga 0.0000 0.0000 0.0000 [1 per cell]  4 Cu 2.55
3 Ga 0.0000 0.5000 0.6360 [2 per cell]  3 Cu 2.53-2.61, 2 Ag 2.61
4 Ga 0.5000 0.5000 0.0000 [1 per cell]  4 Cu 2.55
5 Cu 0.0000 0.5000 0.8740 [2 per cell]  5 Ga 2.53-2.55
6 Cu 0.5000 0.5000 0.5000 [1 per cell]  4 Ga 2.61
7 Ag 0.0000 0.0000 0.5000 [1 per cell]  4 Ga 2.61

Computed properties:
formation enthalpy at 0 K: -291 meV per atom
uncorrected energy: -3.3517 eV per atom



Entry 2:
ZnBrF3: relaxed, GGA-PBE.

Lattice parameters (Å, degrees): 4.5026 4.5026 4.5026 90.00 90.00 90.00
Closest atoms and distances in Å follow each position.
Space group Pm-3m (No. 221)
One atom of each set of equivalent atoms:
1 Zn 0.0000 0.0000 0.0000 [1 per cell]  12 F 3.18
2 Br 0.5000 0.5000 0.5000 [1 per cell]  6 F 2.25
3 F 0.0000 0.5000 0.5000 [3 per cell]  2 Br 2.25

Computed properties:
raw formation energy: -0.379 eV/atom
uncorrected energy: -2.0913 eV per atom



Entry 3:
Ag2TeIr: relaxed, GGA-PBE.

Lattice parameters (Å, degrees): 3.7858 4.5863 8.9455 90.00 90.00 90.00
Closest atoms and distances in Å follow each position.
Space group Imm2 (No. 44)
One atom of each set of equivalent atoms:
1 Ag 0.0000 0.0000 0.0000 [2 per cell]  4 Ir 2.91-3.22, 4 Te 3.02, 4 Ag 3.04-3.12
2 Ag 0.0000 0.5000 0.2230 [2 per cell]  4 Ir 2.98, 4 Te 3.03-3.13, 4 Ag 3.04-3.12
3 Te 0.0000 0.0000 0.4438 [2 per cell]  2 Ir 2.58
4 Ir 0.0000 0.5000 0.7472 [2 per cell]  2 Te 2.58

Computed properties:
raw formation energy: 0.340 eV/atom
uncorrected energy: -4.0867 eV per atom